(1)
The following is a DFT calculation (PBE-GGA) of NbTlAg2Cl8 after structural relaxation.

Structure (CIF):
```
data_NbTlAg2Cl8
_chemical_formula_sum 'Nb1 Tl1 Ag2 Cl8'
_cell_length_a 6.387
_cell_length_b 7.274
_cell_length_c 9.061
_cell_angle_alpha 111.76
_cell_angle_beta 90.34
_cell_angle_gamma 98.19
_symmetry_space_group_name_H-M 'P -1'
_symmetry_Int_Tables_number 2
loop_
_symmetry_equiv_pos_as_xyz
'x,y,z'
'-x,-y,-z'
loop_
_atom_site_label
_atom_site_fract_x
_atom_site_fract_y
_atom_site_fract_z
Nb1 0.000 0.000 0.000
Tl1 0.000 0.000 0.500
Ag1 0.485 0.650 0.682
Cl1 0.096 0.772 0.748
Cl2 0.138 0.813 0.132
Cl3 0.338 0.207 0.034
Cl4 0.445 0.265 0.564
```

Results
raw formation energy = -0.92 eV per atom

(2)
The following is a DFT calculation (PBE-GGA) of NbTlAgCl6 after structural relaxation.

Structure (CIF):
```
data_NbTlAgCl6
_chemical_formula_sum 'Nb2 Tl2 Ag2 Cl12'
_cell_length_a 6.9791
_cell_length_b 6.9791
_cell_length_c 13.2431
_cell_angle_alpha 90.00
_cell_angle_beta 90.00
_cell_angle_gamma 120.00
_symmetry_space_group_name_H-M 'P -3 1 c'
_symmetry_Int_Tables_number 163
_symmetry_space_group_name_Hall '-P 3 2c'
loop_
_atom_site_label
_atom_site_fract_x
_atom_site_fract_y
_atom_site_fract_z
Nb1 0.3333 0.6667 0.2500
Tl1 0.0000 0.0000 0.0000
Ag1 0.3333 0.6667 0.7500
Cl1 0.0369 0.3928 0.1436
```

Results
raw formation energy = -1.01 eV per atom
Fermi-level density of states = 13.0 states/eV/cell

(3)
The following is a DFT calculation (PBE-GGA) of NdAgCl4 after structural relaxation.

Structure (CIF):
```
data_NdAgCl4
_chemical_formula_sum 'Nd1 Ag1 Cl4'
_cell_length_a 4.793
_cell_length_b 4.808
_cell_length_c 6.985
_cell_angle_alpha 83.11
_cell_angle_beta 82.09
_cell_angle_gamma 89.59
_symmetry_space_group_name_H-M 'P 1'
_symmetry_Int_Tables_number 1
loop_
_symmetry_equiv_pos_as_xyz
'x,y,z'
loop_
_atom_site_label
_atom_site_fract_x
_atom_site_fract_y
_atom_site_fract_z
Nd1 0.000 0.000 0.000
Ag1 0.428 0.428 0.467
Cl1 0.046 0.539 0.769
Cl2 0.447 0.954 0.249
Cl3 0.545 0.039 0.771
Cl4 0.948 0.454 0.245
```

Results
raw formation energy = -1.60 eV per atom
Fermi-level density of states = 0.0 states/eV/cell
ΔE to the lowest computed polymorph = 28 meV per atom

(4)
The following is a DFT calculation (PBE-GGA) of NdAgCl4 after structural relaxation.

Structure (CIF):
```
data_NdAgCl4
_chemical_formula_sum 'Nd4 Ag4 Cl16'
_cell_length_a 9.206
_cell_length_b 9.206
_cell_length_c 8.383
_cell_angle_alpha 90.00
_cell_angle_beta 90.00
_cell_angle_gamma 90.00
_symmetry_space_group_name_H-M 'I 41 m d'
_symmetry_Int_Tables_number 109
_symmetry_space_group_name_Hall 'I 4bw -2'
loop_
_atom_site_label
_atom_site_fract_x
_atom_site_fract_y
_atom_site_fract_z
Nd1 0.000 0.000 0.000
Ag1 0.000 0.000 0.459
Cl1 0.000 0.290 0.473
Cl2 0.000 0.303 0.992
```

Results
raw formation energy = -1.63 eV per atom
Fermi-level density of states = 0.0 states/eV/cell
ΔE to the lowest computed polymorph = 0 meV per atom

no.,raw total energy (eV per atom)
1,-3.661
2,-3.937
3,-4.100
4,-4.129